Record 1
Material: CsKPt2
Method: DFT, PBE-GGA
State: relaxed

Results
electronic total energy: -28.94 eV for the cell shown
SG: Cmcm, No. 63
excess energy over the best structure of this formula in the dataset: 0 meV/atom
DFT formation energy: -0.44 eV per formula unit

a b c (Å): 4.4714 7.8142 8.9259
angles (deg): 90.00 104.51 90.00
Sites, in units of the cell vectors:
Cs 0.8874 0.7500 0.7743
Cs 0.1126 0.2500 0.2257
K 0.6329 0.7500 0.2662
K 0.3671 0.2500 0.7338
Pt 0.2498 0.5854 0.4996
Pt 0.7502 0.4146 0.5004
Pt 0.7502 0.0854 0.5004
Pt 0.2498 0.9146 0.4996


Record 2
Material: CsK2Pt2
Method: DFT, PBE-GGA
State: relaxed

Results
electronic total energy: -28.70 eV for the cell shown
SG: P4/mbm, No. 127
excess energy over the best structure of this formula in the dataset: 27 meV/atom
DFT formation energy: 0.78 eV per formula unit

a b c (Å): 9.7167 9.7167 3.2212
angles (deg): 90.00 90.00 90.00
Sites, in units of the cell vectors:
Cs 0.0000 0.0000 0.0000
Cs 0.5000 0.5000 0.0000
K 0.1231 0.6231 0.5000
K 0.6231 0.8769 0.5000
K 0.8769 0.3769 0.5000
K 0.3769 0.1231 0.5000
Pt 0.3269 0.8269 0.0000
Pt 0.8269 0.6731 0.0000
Pt 0.6731 0.1731 0.0000
Pt 0.1731 0.3269 0.0000


Record 3
Material: Cs7K12Pt
Method: DFT, PBE-GGA
State: relaxed

Results
electronic total energy: -24.06 eV for the cell shown
SG: R-3, No. 148
DFT formation energy: 1.12 eV per formula unit

a b c (Å): 8.4483 15.0120 15.0120
angles (deg): 116.57 100.81 100.81
Sites, in units of the cell vectors:
Cs 0.0894 0.7820 0.0004
Cs 0.9110 0.0004 0.2184
Cs 0.6926 0.7816 0.7820
Cs 0.5000 0.0000 0.0000
Cs 0.3074 0.2184 0.2180
Cs 0.0890 0.9996 0.7816
Cs 0.9106 0.2180 0.9996
K 0.0920 0.5919 0.1841
K 0.0921 0.1841 0.5922
K 0.5223 0.6370 0.0005
K 0.4782 0.0005 0.3635
K 0.4999 0.4078 0.5919
K 0.1146 0.6365 0.6370
K 0.8854 0.3635 0.3630
K 0.5001 0.5922 0.4081
K 0.5218 0.9995 0.6365
K 0.4777 0.3630 0.9995
K 0.9079 0.8159 0.4078
K 0.9080 0.4081 0.8159
Pt 0.0000 0.0000 0.0000